1.
5
Lattice="4.571 0.000 0.000 0.000 4.571 0.000 0.000 0.000 4.837" Properties=species:S:1:pos:R:3 comment="AlMoP2Ru GGA-PBE optimized geometry" delta_e_f_kj_per_mol_atoms=94.5 total_magnetization_mub_per_fu=2.2 pbc="T T T"
Al 0.000 0.000 0.000
Mo 0.000 0.000 2.419
P 0.000 2.286 2.419
P 2.286 0.000 2.419
Ru 2.286 2.286 0.000

---

2.
8
Lattice="5.537 0.000 0.000 0.000 8.032 0.000 0.000 0.000 2.849" Properties=species:S:1:pos:R:3 comment="AlFeAg2 GGA-PBE optimized geometry" delta_e_f_kj_per_mol_atoms=18.5 total_magnetization_mub_per_fu=2.7 pbc="T T T"
Al 0.000 0.000 0.000
Al 2.768 4.016 0.000
Fe 0.000 4.016 0.000
Fe 2.768 0.000 0.000
Ag 1.384 2.008 1.425
Ag 1.384 6.024 1.425
Ag 4.152 2.008 1.425
Ag 4.152 6.024 1.425